GGA+U LiFeF3, relaxed; VASP energy = -5.0586 eV per atom
1.0
5.038 -2.587 -0.013
5.038 2.587 -0.013
3.720 0.000 4.270
F Fe Li
6 2 2
direct
0.056 0.435 0.758 F
0.242 0.944 0.565 F
0.565 0.242 0.944 F
0.758 0.056 0.435 F
0.435 0.758 0.056 F
0.944 0.565 0.242 F
0.347 0.347 0.347 Fe
0.653 0.653 0.653 Fe
0.144 0.144 0.144 Li
0.856 0.856 0.856 Li